No. 1
First-principles (PBE) data for a relaxed In6GePd2 crystal, as listed in the Open Quantum Materials Database.

It has space group P-62m (No. 189), with a = 7.5969 Å, b = 7.5969 Å, c = 4.0326 Å, α = 90.00°, β = 90.00° and γ = 120.00°. The asymmetric unit holds In at (0.0000, 0.4033, 0.0000), In at (0.0000, 0.7240, 0.5000), Ge at (0.0000, 0.0000, 0.0000) and Pd at (0.3333, 0.6667, 0.5000).

Its total DFT energy (no corrections) is -3.627 eV per atom. The density comes out at 8.0 g/cm3.

***

No. 2
First-principles (PBE) data for a relaxed Pr4InGe4Pd2 crystal, as listed in the Open Quantum Materials Database.

It has space group C2/m (No. 12), with a = 16.412 Å, b = 4.457 Å, c = 7.393 Å, α = 90.00°, β = 108.30° and γ = 90.00°. The asymmetric unit holds Pr at (0.090, 0.000, 0.385), Pr at (0.154, 0.000, 0.932), In at (0.000, 0.500, 0.000), Ge at (0.060, 0.500, 0.660), Ge at (0.202, 0.500, 0.268) and Pd at (0.214, 0.500, 0.649).

Its total DFT energy (no corrections) is -5.450 eV per atom. The density comes out at 7.6 g/cm3.

***

No. 3
First-principles (PBE) data for a relaxed InGePd4Pt crystal, as listed in the Open Quantum Materials Database.

It has space group P4/mmm (No. 123), with a = 4.061 Å, b = 4.061 Å, c = 7.074 Å, α = 90.00°, β = 90.00° and γ = 90.00°. The asymmetric unit holds In at (0.000, 0.000, 0.000), Ge at (0.500, 0.500, 0.500), Pd at (0.000, 0.500, 0.289) and Pt at (0.500, 0.500, 0.000).

Its total DFT energy (no corrections) is -5.351 eV per atom. The density comes out at 11.5 g/cm3.

***

No. 4
First-principles (PBE) data for a relaxed InGePdPt4 crystal, as listed in the Open Quantum Materials Database.

It has space group P4/mmm (No. 123), with a = 4.026 Å, b = 4.026 Å, c = 7.227 Å, α = 90.00°, β = 90.00° and γ = 90.00°. The asymmetric unit holds In at (0.000, 0.000, 0.000), Ge at (0.500, 0.500, 0.500), Pd at (0.500, 0.500, 0.000) and Pt at (0.000, 0.500, 0.287).

Its total DFT energy (no corrections) is -5.686 eV per atom. The density comes out at 15.2 g/cm3.

***

No. 5
First-principles (PBE) data for a relaxed Y4InGe4Pd2 crystal, as listed in the Open Quantum Materials Database.

It has space group C2/m (No. 12), with a = 15.921 Å, b = 4.283 Å, c = 7.170 Å, α = 90.00°, β = 107.76° and γ = 90.00°. The asymmetric unit holds Y at (0.088, 0.000, 0.384), Y at (0.155, 0.000, 0.925), In at (0.000, 0.500, 0.000), Ge at (0.061, 0.500, 0.662), Ge at (0.192, 0.500, 0.244) and Pd at (0.217, 0.500, 0.639).

Its total DFT energy (no corrections) is -6.110 eV per atom. The density comes out at 6.9 g/cm3.

***

No. 6
First-principles (PBE) data for a relaxed PmInGe crystal, as listed in the Open Quantum Materials Database.

It has space group F-43m (No. 216), with a = 7.093 Å, b = 7.093 Å, c = 7.093 Å, α = 90.00°, β = 90.00° and γ = 90.00°. The asymmetric unit holds Pm at (0.000, 0.000, 0.000), In at (0.250, 0.250, 0.250) and Ge at (0.250, 0.250, 0.750).

Its total DFT energy (no corrections) is -4.148 eV per atom. The density comes out at 6.2 g/cm3.